{
  "formula": "Sr2BeTc",
  "functional": "PBE-GGA",
  "state": "relaxed",
  "ef_kj_per_mol_atoms": 88,
  "total_magnetization_mub_per_cell": 1.90,
  "volume_a3_per_atom": 25.80,
  "energy_ev_per_atom": -3.45,
  "lattice_angstrom": [[3.560, 0.000, 0.000], [0.000, 3.614, 0.000], [0.000, 0.000, 8.020]],
  "species": ["Sr", "Sr", "Be", "Tc"],
  "fractional_positions": [[0.000, 0.000, 0.246], [0.000, 0.000, 0.754], [0.500, 0.500, 0.000], [0.500, 0.500, 0.500]]
}


{
  "formula": "SrBeTc2Te",
  "functional": "PBE-GGA",
  "state": "relaxed",
  "total_magnetization_mub_per_cell": 2.46,
  "raw_formation_energy_mev_per_atom": 1534,
  "volume_a3_per_atom": 28.95,
  "energy_ev_per_atom": -4.32,
  "lattice_angstrom": [[4.934, 0.000, 0.000], [0.000, 4.934, 0.000], [0.000, 0.000, 5.945]],
  "species": ["Sr", "Be", "Tc", "Tc", "Te"],
  "fractional_positions": [[0.000, 0.000, 0.000], [0.500, 0.500, 0.000], [0.000, 0.500, 0.500], [0.500, 0.000, 0.500], [0.000, 0.000, 0.500]]
}


{
  "formula": "SrBeVTc2",
  "functional": "PBE-GGA",
  "state": "relaxed",
  "ef_kj_per_mol_atoms": 129,
  "total_magnetization_mub_per_cell": 0.32,
  "volume_a3_per_atom": 18.23,
  "energy_ev_per_atom": -5.72,
  "lattice_angstrom": [[4.293, 0.000, 0.000], [0.000, 4.293, 0.000], [0.000, 0.000, 4.946]],
  "species": ["Sr", "Be", "V", "Tc", "Tc"],
  "fractional_positions": [[0.000, 0.000, 0.000], [0.000, 0.000, 0.500], [0.500, 0.500, 0.000], [0.000, 0.500, 0.500], [0.500, 0.000, 0.500]]
}


{
  "formula": "SrBeTe",
  "functional": "PBE-GGA",
  "state": "relaxed",
  "total_magnetization_mub_per_cell": 0.00,
  "raw_formation_energy_mev_per_atom": 131,
  "volume_a3_per_atom": 36.82,
  "relative_energy_ev_per_atom": 0.754,
  "energy_ev_per_atom": -2.72,
  "lattice_angstrom": [[0.000, 3.808, 3.808], [3.808, 0.000, 3.808], [3.808, 3.808, 0.000]],
  "species": ["Sr", "Be", "Te"],
  "fractional_positions": [[0.000, 0.000, 0.000], [0.500, 0.500, 0.500], [0.250, 0.250, 0.250]]
}


{
  "formula": "SrBeTe3",
  "functional": "PBE-GGA",
  "state": "relaxed",
  "total_magnetization_mub_per_cell": 3.64,
  "raw_formation_energy_mev_per_atom": 775,
  "volume_a3_per_atom": 48.98,
  "relative_energy_ev_per_atom": 1.174,
  "energy_ev_per_atom": -2.19,
  "lattice_angstrom": [[6.256, 0.000, 0.000], [0.000, 6.256, 0.000], [0.000, 0.000, 6.256]],
  "species": ["Sr", "Be", "Te", "Te", "Te"],
  "fractional_positions": [[0.000, 0.000, 0.000], [0.500, 0.500, 0.500], [0.000, 0.000, 0.500], [0.000, 0.500, 0.000], [0.500, 0.000, 0.000]]
}


{
  "formula": "SrBeTe",
  "functional": "PBE-GGA",
  "state": "relaxed",
  "total_magnetization_mub_per_cell": 0.00,
  "raw_formation_energy_mev_per_atom": -414,
  "volume_a3_per_atom": 26.79,
  "relative_energy_ev_per_atom": 0.209,
  "energy_ev_per_atom": -3.26,
  "lattice_angstrom": [[4.101, 0.000, 0.000], [-2.050, 3.551, 0.000], [0.000, 0.000, 5.519]],
  "species": ["Sr", "Be", "Te"],
  "fractional_positions": [[0.000, 0.000, 0.000], [0.333, 0.667, 0.641], [0.667, 0.333, 0.472]]
}


{
  "formula": "Sr2BeTe",
  "functional": "PBE-GGA",
  "state": "relaxed",
  "total_magnetization_mub_per_cell": 0.53,
  "raw_formation_energy_mev_per_atom": -405,
  "volume_a3_per_atom": 32.19,
  "relative_energy_ev_per_atom": 0.021,
  "energy_ev_per_atom": -2.96,
  "lattice_angstrom": [[6.110, -2.248, 0.000], [6.110, 2.248, 0.000], [-0.480, 0.000, 4.687]],
  "species": ["Sr", "Sr", "Be", "Te"],
  "fractional_positions": [[0.000, 0.000, 0.000], [0.715, 0.715, 0.545], [0.457, 0.457, 0.453], [0.287, 0.287, 0.077]]
}


{
  "formula": "SrBeTe2",
  "functional": "PBE-GGA",
  "state": "relaxed",
  "total_magnetization_mub_per_cell": 0.00,
  "raw_formation_energy_mev_per_atom": -583,
  "volume_a3_per_atom": 30.26,
  "energy_ev_per_atom": -3.51,
  "lattice_angstrom": [[4.352, 0.000, 0.000], [0.000, 3.810, 0.000], [-1.136, 0.000, 7.301]],
  "species": ["Sr", "Be", "Te", "Te"],
  "fractional_positions": [[0.000, 0.000, 0.000], [0.500, 0.000, 0.500], [0.434, 0.500, 0.728], [0.566, 0.500, 0.272]]
}


{
  "formula": "SrBeTe",
  "functional": "PBE-GGA",
  "state": "relaxed",
  "total_magnetization_mub_per_cell": 0.00,
  "raw_formation_energy_mev_per_atom": 31,
  "volume_a3_per_atom": 35.13,
  "relative_energy_ev_per_atom": 0.654,
  "energy_ev_per_atom": -2.82,
  "lattice_angstrom": [[0.000, 3.749, 3.749], [3.749, 0.000, 3.749], [3.749, 3.749, 0.000]],
  "species": ["Sr", "Be", "Te"],
  "fractional_positions": [[0.000, 0.000, 0.000], [0.750, 0.750, 0.750], [0.250, 0.250, 0.250]]
}


{
  "formula": "SrBeTe2",
  "functional": "PBE-GGA",
  "state": "relaxed",
  "total_magnetization_mub_per_cell": 0.00,
  "raw_formation_energy_mev_per_atom": -197,
  "volume_a3_per_atom": 28.40,
  "energy_ev_per_atom": -3.12,
  "lattice_angstrom": [[-2.183, 2.183, 5.958], [2.183, -2.183, 5.958], [2.183, 2.183, -5.958]],
  "species": ["Sr", "Be", "Te", "Te"],
  "fractional_positions": [[0.000, 0.000, 0.000], [0.750, 0.250, 0.500], [0.250, 0.750, 0.500], [0.500, 0.500, 0.000]]
}


{
  "formula": "SrBeTe2",
  "functional": "PBE-GGA",
  "state": "relaxed",
  "total_magnetization_mub_per_cell": 0.00,
  "raw_formation_energy_mev_per_atom": -527,
  "volume_a3_per_atom": 31.95,
  "energy_ev_per_atom": -3.45,
  "lattice_angstrom": [[4.193, 0.000, 0.000], [0.000, 4.193, 0.000], [0.000, 0.000, 7.269]],
  "species": ["Sr", "Be", "Te", "Te"],
  "fractional_positions": [[0.000, 0.000, 0.000], [0.500, 0.500, 0.479], [0.000, 0.000, 0.551], [0.500, 0.500, 0.153]]
}


{
  "formula": "SrBe2Te",
  "functional": "PBE-GGA",
  "state": "relaxed",
  "total_magnetization_mub_per_cell": 0.00,
  "raw_formation_energy_mev_per_atom": 540,
  "volume_a3_per_atom": 26.24,
  "energy_ev_per_atom": -2.53,
  "lattice_angstrom": [[3.046, -5.483, 0.000], [3.046, 5.483, 0.000], [-2.971, 0.000, 3.143]],
  "species": ["Sr", "Be", "Be", "Te"],
  "fractional_positions": [[0.000, 0.000, 0.000], [0.000, 0.500, 0.000], [0.500, 0.000, 0.000], [0.500, 0.500, 0.000]]
}


{
  "formula": "Sr2BeTe",
  "functional": "PBE-GGA",
  "state": "relaxed",
  "total_magnetization_mub_per_cell": 0.78,
  "raw_formation_energy_mev_per_atom": -374,
  "volume_a3_per_atom": 35.71,
  "relative_energy_ev_per_atom": 0.052,
  "energy_ev_per_atom": -2.93,
  "lattice_angstrom": [[2.280, 1.316, 7.929], [-2.280, 1.316, 7.929], [0.000, -2.633, 7.929]],
  "species": ["Sr", "Sr", "Be", "Te"],
  "fractional_positions": [[0.249, 0.249, 0.249], [0.751, 0.751, 0.751], [0.500, 0.500, 0.500], [0.000, 0.000, 0.000]]
}


{
  "formula": "Sr2BeTe",
  "functional": "PBE-GGA",
  "state": "relaxed",
  "total_magnetization_mub_per_cell": 0.00,
  "raw_formation_energy_mev_per_atom": -263,
  "volume_a3_per_atom": 30.66,
  "relative_energy_ev_per_atom": 0.163,
  "energy_ev_per_atom": -2.82,
  "lattice_angstrom": [[-2.586, 2.586, 4.584], [2.586, -2.586, 4.584], [2.586, 2.586, -4.584]],
  "species": ["Sr", "Sr", "Be", "Te"],
  "fractional_positions": [[0.250, 0.750, 0.500], [0.750, 0.250, 0.500], [0.000, 0.000, 0.000], [0.500, 0.500, 0.000]]
}


{
  "formula": "SrBe2Te",
  "functional": "PBE-GGA",
  "state": "relaxed",
  "total_magnetization_mub_per_cell": 0.00,
  "raw_formation_energy_mev_per_atom": 294,
  "volume_a3_per_atom": 21.67,
  "energy_ev_per_atom": -2.77,
  "lattice_angstrom": [[3.595, 0.000, 0.000], [0.000, 3.595, 0.000], [0.000, 0.000, 6.709]],
  "species": ["Sr", "Be", "Be", "Te"],
  "fractional_positions": [[0.000, 0.000, 0.000], [0.500, 0.500, 0.336], [0.500, 0.500, 0.664], [0.000, 0.000, 0.500]]
}


{
  "formula": "SrBeTe2",
  "functional": "PBE-GGA",
  "state": "relaxed",
  "total_magnetization_mub_per_cell": 0.00,
  "raw_formation_energy_mev_per_atom": -429,
  "volume_a3_per_atom": 29.05,
  "energy_ev_per_atom": -3.35,
  "lattice_angstrom": [[-1.901, 2.128, 7.179], [1.901, -2.128, 7.179], [1.901, 2.128, -7.179]],
  "species": ["Sr", "Be", "Te", "Te"],
  "fractional_positions": [[0.000, 0.000, 0.000], [0.742, 0.242, 0.500], [0.328, 0.828, 0.500], [0.621, 0.621, 0.000]]
}


Density (g/cm³)
4.5 4.8 6.3 3.4 3.3 4.6 4.0 4.8 3.5 5.1 4.6 3.7 3.6 4.2 4.5 5.0